Below is a relaxed SrTl2Os crystal, with properties calculated at the PBE-GGA level.

Properties
- Electronic total energy: -48.38 eV per cell
- ρ: 10.28 g cm⁻³

CIF file:
```
data_SrTl2Os
_chemical_formula_sum 'Sr3 Tl6 Os3'
_symmetry_space_group_name_H-M 'R 3 m'
_symmetry_Int_Tables_number 160
_symmetry_space_group_name_Hall 'R 3 -2"'
_cell_length_a 4.7109
_cell_length_b 4.7109
_cell_length_c 17.3122
_cell_angle_alpha 90.00
_cell_angle_beta 90.00
_cell_angle_gamma 120.00
loop_
_atom_site_label
_atom_site_type_symbol
_atom_site_fract_x
_atom_site_fract_y
_atom_site_fract_z
Sr1 Sr 0.0000 0.0000 0.0000
Tl1 Tl 0.0000 0.0000 0.5551
Tl2 Tl 0.0000 0.0000 0.7890
Os1 Os 0.0000 0.0000 0.1859
```

=====

Below is a relaxed BaPr2GeN4 crystal, with properties calculated at the PBE-GGA level.

Properties
- Electronic total energy: -224.26 eV per cell
- E_form (uncorrected): -833 meV per atom
- ρ: 6.45 g cm⁻³

CIF file:
```
data_BaPr2GeN4
_chemical_formula_sum 'Ba4 Pr8 Ge4 N16'
_symmetry_space_group_name_H-M 'C m c m'
_symmetry_Int_Tables_number 63
_symmetry_space_group_name_Hall '-C 2c 2'
_cell_length_a 3.6045
_cell_length_b 12.7185
_cell_length_c 12.3056
_cell_angle_alpha 90.00
_cell_angle_beta 90.00
_cell_angle_gamma 90.00
loop_
_atom_site_label
_atom_site_type_symbol
_atom_site_fract_x
_atom_site_fract_y
_atom_site_fract_z
Ba1 Ba 0.0000 0.0885 0.2500
Pr1 Pr 0.0000 0.3692 0.0406
Ge1 Ge 0.0000 0.1848 0.7500
N1 N 0.0000 0.0000 0.0000
N2 N 0.0000 0.2616 0.6230
N3 N 0.0000 0.4033 0.2500
```

=====

Below is a relaxed Tb3Al4Zn4 crystal, with properties calculated at the PBE-GGA level.

Properties
- Electronic total energy: -76.93 eV per cell
- ρ: 6.39 g cm⁻³

CIF file:
```
data_Tb3Al4Zn4
_chemical_formula_sum 'Tb6 Al8 Zn8'
_symmetry_space_group_name_H-M 'C 1 2/m 1'
_symmetry_Int_Tables_number 12
_cell_length_a 27.1821
_cell_length_b 3.7413
_cell_length_c 4.3830
_cell_angle_alpha 90.00
_cell_angle_beta 99.23
_cell_angle_gamma 90.00
loop_
_symmetry_equiv_pos_as_xyz
'x,y,z'
'-x,-y,-z'
'-x,y,-z'
'x,-y,z'
'x+1/2,y+1/2,z'
'-x+1/2,-y+1/2,-z'
'-x+1/2,y+1/2,-z'
'x+1/2,-y+1/2,z'
loop_
_atom_site_label
_atom_site_type_symbol
_atom_site_fract_x
_atom_site_fract_y
_atom_site_fract_z
Tb1 Tb 0.0000 0.0000 0.0000
Tb2 Tb 0.1463 0.0000 0.6463
Al1 Al 0.0944 0.5000 0.0941
Al2 Al 0.2452 0.5000 0.7457
Zn1 Zn 0.0475 0.5000 0.5473
Zn2 Zn 0.1882 0.5000 0.1882
```

=====

Below is a relaxed Mg2Co crystal, with properties calculated at the PBE-GGA level.

Properties
- Electronic total energy: -18.64 eV per cell
- ρ: 2.96 g cm⁻³

CIF file:
```
data_Mg2Co
_chemical_formula_sum 'Mg4 Co2'
_symmetry_space_group_name_H-M 'P n n m'
_symmetry_Int_Tables_number 58
_cell_length_a 6.6058
_cell_length_b 6.6169
_cell_length_c 2.7628
_cell_angle_alpha 90.00
_cell_angle_beta 90.00
_cell_angle_gamma 90.00
loop_
_symmetry_equiv_pos_as_xyz
'x,y,z'
'-x,-y,-z'
'-x,-y,z'
'x,y,-z'
'x+1/2,-y+1/2,-z+1/2'
'-x+1/2,y+1/2,z+1/2'
'-x+1/2,y+1/2,-z+1/2'
'x+1/2,-y+1/2,z+1/2'
loop_
_atom_site_label
_atom_site_type_symbol
_atom_site_fract_x
_atom_site_fract_y
_atom_site_fract_z
Mg1 Mg 0.2349 0.2346 0.0000
Co1 Co 0.0000 0.0000 0.5000
```

=====

Below is a relaxed MoOsPb2Se crystal, with properties calculated at the PBE-GGA level.

Properties
- Electronic total energy: -61.93 eV per cell
- E_form (uncorrected): 399 meV per atom
- ΔE to the lowest computed polymorph: 9.0 kJ per mole of atoms
- ρ: 10.37 g cm⁻³

CIF file:
```
data_MoOsPb2Se
_chemical_formula_sum 'Mo2 Os2 Pb4 Se2'
_symmetry_space_group_name_H-M 'A m m 2'
_symmetry_Int_Tables_number 38
_cell_length_a 3.7383
_cell_length_b 8.6218
_cell_length_c 7.7439
_cell_angle_alpha 90.00
_cell_angle_beta 90.00
_cell_angle_gamma 90.00
loop_
_symmetry_equiv_pos_as_xyz
'x,y,z'
'-x,-y,z'
'-x,y,z'
'x,-y,z'
'x,y+1/2,z+1/2'
'-x,-y+1/2,z+1/2'
'-x,y+1/2,z+1/2'
'x,-y+1/2,z+1/2'
loop_
_atom_site_label
_atom_site_type_symbol
_atom_site_fract_x
_atom_site_fract_y
_atom_site_fract_z
Mo1 Mo 0.0000 0.0000 0.0000
Os1 Os 0.5000 0.0000 0.8061
Pb1 Pb 0.0000 0.2271 0.2756
Se1 Se 0.5000 0.0000 0.4920
```

=====

Below is a relaxed KNa2InRe crystal, with properties calculated at the PBE-GGA level.

Properties
- Electronic total energy: -14.21 eV per cell
- ρ: 3.49 g cm⁻³

CIF file:
```
data_KNa2InRe
_chemical_formula_sum 'K1 Na2 In1 Re1'
_symmetry_space_group_name_H-M 'P 4/m m m'
_symmetry_Int_Tables_number 123
_symmetry_space_group_name_Hall '-P 4 2'
_cell_length_a 5.8931
_cell_length_b 5.8931
_cell_length_c 5.2843
_cell_angle_alpha 90.00
_cell_angle_beta 90.00
_cell_angle_gamma 90.00
loop_
_atom_site_label
_atom_site_type_symbol
_atom_site_fract_x
_atom_site_fract_y
_atom_site_fract_z
K1 K 0.0000 0.0000 0.0000
Na1 Na 0.0000 0.5000 0.5000
In1 In 0.5000 0.5000 0.5000
Re1 Re 0.5000 0.5000 0.0000
```